Cu3Ag2 | PBE | optimized geometry

Properties
E_form = 0.09 eV/atom
VASP energy = -32.657 eV/cell
E above lowest polymorph = 0.261 eV per formula unit

Cell: 9.4891 9.4891 5.5415 Å, 98.60 98.60 16.80°
Atoms (fractional coordinates):
Ag 0.1990 0.1990 0.1003
Ag 0.4071 0.4071 0.2124
Ag 0.5910 0.5910 0.3043
Ag 0.8029 0.8029 0.8809
Cu 0.8012 0.8012 0.4089
Cu 0.0001 0.0001 0.5321
Cu 0.1971 0.1971 0.5966
Cu 0.4050 0.4050 0.6952
Cu 0.5968 0.5968 0.7948
Cu 0.9997 0.9997 0.9746